(1)
CaCu2SeO (PBE, relaxed); SG = Cmcm; N(E_F) = 0.0290 states/eV/atom; formation energy from raw total energies = -1.062 eV/atom; ρ = 5.6 Mg/m³
1.0
1.813 -5.998 0.000
1.813 5.998 0.000
0.000 0.000 7.145
Ca Cu Se O
2 4 2 2
Direct
0.023 0.977 0.750
0.977 0.023 0.250
0.335 0.665 0.558
0.335 0.665 0.942
0.665 0.335 0.058
0.665 0.335 0.442
0.245 0.755 0.250
0.755 0.245 0.750
0.500 0.500 0.000
0.500 0.500 0.500


(2)
CaCu2Si8O20 (PBE, relaxed); SG = P-42_1c; formation energy from raw total energies = -2.390 eV/atom; ρ = 2.9 Mg/m³
1.0
7.292 0.000 0.000
0.000 7.292 0.000
0.000 0.000 15.485
Ca Cu Si O
2 4 16 40
Direct
0.000 0.000 0.000
0.500 0.500 0.500
0.000 0.500 0.089
0.000 0.500 0.589
0.500 0.000 0.411
0.500 0.000 0.911
0.183 0.745 0.852
0.184 0.258 0.352
0.242 0.316 0.852
0.245 0.683 0.352
0.255 0.183 0.148
0.258 0.816 0.648
0.316 0.758 0.148
0.317 0.245 0.648
0.683 0.755 0.648
0.684 0.242 0.148
0.742 0.184 0.648
0.745 0.817 0.148
0.755 0.317 0.352
0.758 0.684 0.852
0.816 0.742 0.352
0.817 0.255 0.852
0.034 0.734 0.373
0.038 0.227 0.875
0.097 0.730 0.590
0.101 0.267 0.082
0.211 0.228 0.248
0.227 0.962 0.125
0.228 0.789 0.752
0.230 0.597 0.090
0.233 0.399 0.582
0.234 0.534 0.873
0.266 0.034 0.627
0.267 0.899 0.918
0.270 0.097 0.410
0.272 0.289 0.748
0.273 0.462 0.375
0.289 0.728 0.252
0.399 0.767 0.418
0.403 0.230 0.910
0.462 0.727 0.625
0.466 0.234 0.127
0.534 0.766 0.127
0.538 0.273 0.625
0.597 0.770 0.910
0.601 0.233 0.418
0.711 0.272 0.252
0.727 0.538 0.375
0.728 0.711 0.748
0.730 0.903 0.410
0.733 0.101 0.918
0.734 0.966 0.627
0.766 0.466 0.873
0.767 0.601 0.582
0.770 0.403 0.090
0.772 0.211 0.752
0.773 0.038 0.125
0.789 0.772 0.248
0.899 0.733 0.082
0.903 0.270 0.590
0.962 0.773 0.875
0.966 0.266 0.373


(3)
Ca3Cu5Si9O26 (PBE, relaxed); SG = C2/c; N(E_F) = 0.0874 states/eV/atom; formation energy from raw total energies = -2.317 eV/atom; ρ = 3.5 Mg/m³
1.0
5.125 -5.071 0.000
5.125 5.071 0.000
-0.397 0.000 20.357
Ca Cu Si O
6 10 18 52
Direct
0.214 0.742 0.429
0.233 0.767 0.750
0.258 0.786 0.071
0.742 0.214 0.929
0.767 0.233 0.250
0.786 0.258 0.571
0.000 0.500 0.000
0.007 0.525 0.161
0.464 0.488 0.331
0.475 0.993 0.339
0.488 0.464 0.831
0.500 0.000 0.500
0.512 0.536 0.169
0.525 0.007 0.661
0.536 0.512 0.669
0.993 0.475 0.839
0.155 0.246 0.407
0.192 0.259 0.694
0.219 0.781 0.250
0.246 0.155 0.907
0.252 0.319 0.550
0.255 0.744 0.913
0.256 0.745 0.587
0.259 0.192 0.194
0.319 0.252 0.050
0.681 0.748 0.950
0.741 0.808 0.806
0.744 0.255 0.413
0.745 0.256 0.087
0.748 0.681 0.450
0.754 0.845 0.093
0.781 0.219 0.750
0.808 0.741 0.306
0.845 0.754 0.593
0.001 0.745 0.265
0.050 0.260 0.891
0.057 0.760 0.627
0.066 0.303 0.208
0.101 0.729 0.969
0.116 0.263 0.487
0.122 0.268 0.614
0.229 0.458 0.053
0.240 0.943 0.873
0.246 0.586 0.854
0.255 0.437 0.386
0.255 0.999 0.235
0.260 0.050 0.391
0.261 0.651 0.185
0.263 0.116 0.987
0.268 0.122 0.114
0.268 0.546 0.547
0.271 0.899 0.531
0.303 0.066 0.708
0.304 0.448 0.713
0.349 0.739 0.315
0.414 0.754 0.646
0.437 0.255 0.886
0.448 0.304 0.213
0.454 0.732 0.953
0.458 0.229 0.553
0.542 0.771 0.447
0.546 0.268 0.047
0.552 0.696 0.787
0.563 0.745 0.114
0.586 0.246 0.354
0.651 0.261 0.685
0.696 0.552 0.287
0.697 0.934 0.292
0.729 0.101 0.469
0.732 0.454 0.453
0.732 0.878 0.886
0.737 0.884 0.013
0.739 0.349 0.815
0.740 0.950 0.609
0.745 0.001 0.765
0.745 0.563 0.614
0.754 0.414 0.146
0.760 0.057 0.127
0.771 0.542 0.947
0.878 0.732 0.386
0.884 0.737 0.513
0.899 0.271 0.031
0.934 0.697 0.792
0.943 0.240 0.373
0.950 0.740 0.109
0.999 0.255 0.735


(4)
Ca2SmCuO5 (PBE, relaxed); SG = I4/mcm; N(E_F) = 0.2635 states/eV/atom; formation energy from raw total energies = -2.201 eV/atom; ρ = 5.5 Mg/m³
1.0
-3.162 3.162 5.672
3.162 -3.162 5.672
3.162 3.162 -5.672
Ca Sm Cu O
4 2 2 10
Direct
0.167 0.667 0.834
0.333 0.167 0.500
0.667 0.833 0.500
0.833 0.333 0.166
0.250 0.250 0.000
0.750 0.750 0.000
0.250 0.750 0.500
0.750 0.250 0.500
0.000 0.000 0.000
0.015 0.199 0.500
0.199 0.699 0.184
0.301 0.485 0.500
0.485 0.985 0.184
0.500 0.500 0.000
0.515 0.015 0.816
0.699 0.515 0.500
0.801 0.301 0.816
0.985 0.801 0.500


(5)
CaCuSnO2 (PBE, relaxed); SG = P4/mmm; N(E_F) = 0.4126 states/eV/atom; formation energy from raw total energies = -0.241 eV/atom; ρ = 5.0 Mg/m³
1.0
4.253 0.000 0.000
0.000 4.253 0.000
0.000 0.000 4.705
Ca Cu Sn O
1 1 1 2
Direct
0.000 0.000 0.000
0.500 0.500 0.500
0.500 0.500 0.000
0.000 0.500 0.500
0.500 0.000 0.500


(6)
CaCu2SnO (PBE, relaxed); SG = P4/mmm; N(E_F) = 0.5687 states/eV/atom; formation energy from raw total energies = 0.243 eV/atom; ρ = 4.5 Mg/m³
1.0
5.233 0.000 0.000
0.000 5.233 0.000
0.000 0.000 4.094
Ca Cu Sn O
1 2 1 1
Direct
0.000 0.000 0.000
0.000 0.500 0.000
0.500 0.000 0.000
0.500 0.500 0.500
0.000 0.000 0.500


(7)
SrCaCuO3 (PBE, relaxed); SG = C2/m; N(E_F) = 0.1843 states/eV/atom; formation energy from raw total energies = -2.130 eV/atom; ρ = 4.8 Mg/m³
1.0
6.439 -1.950 0.000
6.439 1.950 0.000
-1.817 0.000 6.604
Sr Ca Cu O
2 2 2 6
Direct
0.147 0.147 0.075
0.853 0.853 0.925
0.148 0.148 0.572
0.852 0.852 0.428
0.499 0.499 0.733
0.501 0.501 0.267
0.001 0.001 0.267
0.340 0.340 0.660
0.344 0.344 0.183
0.656 0.656 0.817
0.660 0.660 0.340
0.999 0.999 0.733


(8)
SrCaCuO3 (PBE, relaxed); SG = Imm2; N(E_F) = 0.1272 states/eV/atom; formation energy from raw total energies = -2.116 eV/atom; ρ = 4.8 Mg/m³
1.0
-1.711 1.957 6.214
1.711 -1.957 6.214
1.711 1.957 -6.214
Sr Ca Cu O
1 1 1 3
Direct
0.000 0.000 0.000
0.296 0.296 0.000
0.649 0.649 0.000
0.155 0.655 0.500
0.488 0.488 0.000
0.804 0.804 0.000


(9)
Sr2CaCuO4 (PBE, relaxed); SG = Cmcm; N(E_F) = 0.4260 states/eV/atom; formation energy from raw total energies = -2.065 eV/atom; ρ = 4.6 Mg/m³
1.0
1.734 -5.833 0.000
1.734 5.833 0.000
0.000 0.000 12.278
Sr Ca Cu O
4 2 2 8
Direct
0.131 0.869 0.550
0.131 0.869 0.950
0.869 0.131 0.050
0.869 0.131 0.450
0.385 0.615 0.750
0.615 0.385 0.250
0.342 0.658 0.250
0.658 0.342 0.750
0.054 0.946 0.750
0.224 0.776 0.137
0.224 0.776 0.363
0.500 0.500 0.000
0.500 0.500 0.500
0.776 0.224 0.637
0.776 0.224 0.863
0.946 0.054 0.250


(10)
SrCa3Cu2O6 (PBE, relaxed); SG = Cm; N(E_F) = 0.3123 states/eV/atom; formation energy from raw total energies = -2.140 eV/atom; ρ = 4.5 Mg/m³
1.0
6.389 -1.932 0.000
6.389 1.932 0.000
-1.760 0.000 6.480
Sr Ca Cu O
1 3 2 6
Direct
0.000 0.000 0.000
0.296 0.296 0.151
0.297 0.297 0.645
0.999 0.999 0.498
0.647 0.647 0.814
0.650 0.650 0.333
0.151 0.151 0.816
0.152 0.152 0.333
0.488 0.488 0.255
0.488 0.488 0.732
0.804 0.804 0.902
0.809 0.809 0.404


(11)
SrCa2CuO (PBE, relaxed); SG = P4/mmm; N(E_F) = 0.5804 states/eV/atom; formation energy from raw total energies = -0.081 eV/atom; ρ = 2.6 Mg/m³
1.0
6.509 0.000 0.000
0.000 6.509 0.000
0.000 0.000 3.698
Sr Ca Cu O
1 2 1 1
Direct
0.000 0.000 0.000
0.000 0.500 0.500
0.500 0.000 0.500
0.500 0.500 0.500
0.500 0.500 0.000


(12)
SrCa2CuO (PBE, relaxed); SG = P4/mmm; N(E_F) = 0.4182 states/eV/atom; formation energy from raw total energies = -1.081 eV/atom; ρ = 3.5 Mg/m³
1.0
4.717 0.000 0.000
0.000 4.717 0.000
0.000 0.000 5.330
Sr Ca Cu O
1 2 1 1
Direct
0.000 0.000 0.000
0.000 0.500 0.500
0.500 0.000 0.500
0.500 0.500 0.000
0.000 0.000 0.500


(13)
Sr2CaCuO (PBE, relaxed); SG = P4/mmm; N(E_F) = 0.7857 states/eV/atom; formation energy from raw total energies = -1.024 eV/atom; ρ = 3.8 Mg/m³
1.0
5.206 0.000 0.000
0.000 5.206 0.000
0.000 0.000 4.706
Sr Ca Cu O
2 1 1 1
Direct
0.000 0.500 0.000
0.500 0.000 0.000
0.000 0.000 0.500
0.500 0.500 0.500
0.000 0.000 0.000


(14)
Sr2CaTlCu2O7 (PBE, relaxed); SG = P4/mmm; N(E_F) = 0.1917 states/eV/atom; formation energy from raw total energies = -1.670 eV/atom; ρ = 6.2 Mg/m³
1.0
3.776 0.000 0.000
0.000 3.776 0.000
0.000 0.000 12.351
Sr Ca Tl Cu O
2 1 1 2 7
Direct
0.000 0.000 0.208
0.000 0.000 0.792
0.000 0.000 0.500
0.500 0.500 0.000
0.500 0.500 0.356
0.500 0.500 0.644
0.000 0.000 0.000
0.000 0.500 0.373
0.000 0.500 0.627
0.500 0.000 0.373
0.500 0.000 0.627
0.500 0.500 0.172
0.500 0.500 0.828


(15)
Ca2Ta2CuO8 (PBE, relaxed); SG = P-1; formation energy from raw total energies = -2.552 eV/atom; ρ = 5.9 Mg/m³
1.0
5.432 0.000 0.000
0.004 6.904 0.000
0.618 3.443 9.520
Ca Ta Cu O
4 4 2 16
Direct
0.246 0.045 0.089
0.253 0.632 0.908
0.747 0.368 0.092
0.754 0.955 0.911
0.238 0.488 0.256
0.262 0.243 0.742
0.738 0.757 0.258
0.762 0.512 0.744
0.250 0.738 0.501
0.750 0.262 0.499
0.022 0.372 0.879
0.038 0.281 0.380
0.072 0.709 0.338
0.174 0.973 0.873
0.326 0.350 0.125
0.427 0.545 0.664
0.462 0.162 0.617
0.477 0.755 0.122
0.523 0.245 0.878
0.538 0.838 0.383
0.573 0.455 0.336
0.674 0.650 0.875
0.826 0.027 0.127
0.928 0.291 0.662
0.962 0.719 0.620
0.978 0.628 0.121


(16)
CaCuTeO5 (PBE, relaxed); SG = C2/c; N(E_F) = 0.2804 states/eV/atom; formation energy from raw total energies = -1.425 eV/atom; ρ = 4.9 Mg/m³
1.0
3.179 -4.722 0.000
3.179 4.722 0.000
-2.778 0.000 6.955
Ca Cu Te O
2 2 2 10
Direct
0.173 0.827 0.750
0.827 0.173 0.250
0.177 0.823 0.250
0.823 0.177 0.750
0.500 0.500 0.000
0.500 0.500 0.500
0.146 0.210 0.927
0.210 0.146 0.427
0.227 0.620 0.420
0.380 0.773 0.080
0.427 0.573 0.750
0.573 0.427 0.250
0.620 0.227 0.920
0.773 0.380 0.580
0.790 0.854 0.573
0.854 0.790 0.073